(A)
The following is a DFT calculation (PBE) of a relaxed Hg2PdCl6 crystal.

## Properties
Theoretical density, Mg/m³: 4.04

a b c (Å): 8.022 8.660 10.323
angles (deg): 90.00 124.40 90.00
Sites, in units of the cell vectors:
Hg1 0.181 0.112 0.193
Hg2 0.181 0.388 0.693
Hg3 0.819 0.612 0.307
Hg4 0.819 0.888 0.807
Pd1 0.000 0.000 0.500
Pd2 0.000 0.500 0.000
Cl1 0.174 0.113 0.748
Cl2 0.174 0.387 0.248
Cl3 0.235 0.613 0.588
Cl4 0.235 0.887 0.088
Cl5 0.274 0.050 0.487
Cl6 0.274 0.450 0.987
Cl7 0.726 0.550 0.013
Cl8 0.726 0.950 0.513
Cl9 0.765 0.113 0.912
Cl10 0.765 0.387 0.412
Cl11 0.826 0.613 0.752
Cl12 0.826 0.887 0.252

***

(B)
The following is a DFT calculation (PBE) of a relaxed Hg2PdCl6 crystal.

## Properties
Theoretical density, Mg/m³: 4.56

a b c (Å): 8.120 8.120 8.026
angles (deg): 92.16 92.16 83.09
Sites, in units of the cell vectors:
Hg1 0.125 0.246 0.202
Hg2 0.246 0.125 0.702
Hg3 0.754 0.875 0.298
Hg4 0.875 0.754 0.798
Pd1 0.399 0.601 0.750
Pd2 0.601 0.399 0.250
Cl1 0.015 0.220 0.897
Cl2 0.132 0.628 0.629
Cl3 0.220 0.015 0.397
Cl4 0.333 0.445 0.134
Cl5 0.372 0.868 0.871
Cl6 0.445 0.333 0.634
Cl7 0.555 0.667 0.366
Cl8 0.628 0.132 0.129
Cl9 0.667 0.555 0.866
Cl10 0.780 0.985 0.603
Cl11 0.868 0.372 0.371
Cl12 0.985 0.780 0.103

***

(A) is favored, and the nearest alternative lies 0.010 eV/atom above it.

***

(A)
The following is a DFT calculation (PBE) of a relaxed Pm2HgCl crystal.

## Properties
DOS(E_F), states/eV/f.u.: 2.9
Theoretical density, Mg/m³: 7.98

a b c (Å): 7.492 7.492 7.492
angles (deg): 32.74 32.74 32.74
Sites, in units of the cell vectors:
Pm1 0.243 0.243 0.243
Pm2 0.757 0.757 0.757
Hg1 0.000 0.000 0.000
Cl1 0.500 0.500 0.500

***

(B)
The following is a DFT calculation (PBE) of a relaxed Pm2HgCl crystal.

## Properties
DOS(E_F), states/eV/f.u.: 3.3
Theoretical density, Mg/m³: 8.57

a b c (Å): 3.484 3.484 8.396
angles (deg): 90.00 90.00 90.00
Sites, in units of the cell vectors:
Pm1 0.000 0.000 0.249
Pm2 0.000 0.000 0.751
Hg1 0.500 0.500 0.000
Cl1 0.500 0.500 0.500

***

(A) is favored, and the nearest alternative lies 0.076 eV/atom above it.

***

(A)
The following is a DFT calculation (PBE) of a relaxed HgPt3Cl crystal.

## Properties
DOS(E_F), states/eV/f.u.: 10.0
Theoretical density, Mg/m³: 10.39

a b c (Å): 5.082 5.082 5.082
angles (deg): 90.00 90.00 90.00
Sites, in units of the cell vectors:
Hg1 0.000 0.000 0.000
Pt1 0.000 0.000 0.500
Pt2 0.000 0.500 0.000
Pt3 0.500 0.000 0.000
Cl1 0.500 0.500 0.500

***

(B)
The following is a DFT calculation (PBE) of a relaxed HgPt3Cl crystal.

## Properties
DOS(E_F), states/eV/f.u.: 4.5
Theoretical density, Mg/m³: 13.89

a b c (Å): 4.614 4.614 4.614
angles (deg): 90.00 90.00 90.00
Sites, in units of the cell vectors:
Hg1 0.000 0.000 0.000
Pt1 0.000 0.500 0.500
Pt2 0.500 0.000 0.500
Pt3 0.500 0.500 0.000
Cl1 0.500 0.500 0.500

***

(B) is favored, and the nearest alternative lies 0.608 eV/atom above it.

***

(A)
The following is a DFT calculation (PBE) of a relaxed PuHg2Cl8 crystal.

## Properties
DOS(E_F), states/eV/f.u.: 7.5
Theoretical density, Mg/m³: 4.06

a b c (Å): 7.619 7.619 6.583
angles (deg): 93.91 93.91 90.49
Sites, in units of the cell vectors:
Pu1 0.000 0.000 0.000
Hg1 0.300 0.300 0.480
Hg2 0.700 0.700 0.520
Cl1 0.061 0.733 0.758
Cl2 0.212 0.212 0.800
Cl3 0.267 0.939 0.242
Cl4 0.438 0.438 0.228
Cl5 0.562 0.562 0.772
Cl6 0.733 0.061 0.758
Cl7 0.788 0.788 0.200
Cl8 0.939 0.267 0.242

***

(B)
The following is a DFT calculation (PBE) of a relaxed PuHg2Cl8 crystal.

## Properties
DOS(E_F), states/eV/f.u.: 5.2
Theoretical density, Mg/m³: 4.42

a b c (Å): 7.108 7.228 7.776
angles (deg): 95.37 97.73 116.44
Sites, in units of the cell vectors:
Pu1 0.000 0.000 0.000
Hg1 0.499 0.211 0.659
Hg2 0.501 0.789 0.341
Cl1 0.227 0.253 0.285
Cl2 0.227 0.807 0.022
Cl3 0.251 0.772 0.521
Cl4 0.263 0.284 0.816
Cl5 0.737 0.716 0.184
Cl6 0.749 0.228 0.479
Cl7 0.773 0.193 0.978
Cl8 0.773 0.747 0.715

***

(B) is favored, and the nearest alternative lies 0.032 eV/atom above it.